KPd2Pb | PBE-GGA | relaxed

```
KPd2Pb
1.0
-4.294 -4.546 -4.971
-2.710 -4.231 6.211
-6.046 -2.316 0.922
Pd Pb K
4 2 2
Cartesian
-4.745 -4.172 -2.343 Pd
-3.532 -3.569 3.735 Pd
-7.028 -4.821 0.852 Pd
-10.796 -9.624 2.081 Pd
0.000 0.000 0.000 Pb
-6.921 -5.625 -1.714 Pb
-3.502 -4.388 0.620 K
-6.129 -5.467 3.877 K
```

Calculated values
mass density = 7.252 Mg/m³
calculated total energy = -0.26843 Ry/atom